Material: Tl3Co3OsO8
Method: DFT, GGA+U
State: relaxed

Mass density in g/cm3: 8.96
Electronic total energy in eV per atom: -5.62

abc: 5.9824 5.9824 7.5295
angles: 114.15 114.15 59.88
Positions (direct):
Tl: 0.0000 0.0000 0.0000
Tl: 0.0000 0.5000 0.0000
Tl: 0.5000 0.0000 0.0000
Co: 0.0000 0.5000 0.5000
Co: 0.5000 0.0000 0.5000
Co: 0.5000 0.5000 0.5000
Os: 0.0000 0.0000 0.5000
O: 0.2198 0.2198 0.6472
O: 0.2199 0.7116 0.6476
O: 0.2844 0.2844 0.3573
O: 0.2884 0.7801 0.3524
O: 0.7116 0.2199 0.6476
O: 0.7156 0.7156 0.6427
O: 0.7801 0.2884 0.3524
O: 0.7802 0.7802 0.3528